# 1
ScTlRePd2 after structural relaxation, computed with GGA-PBE.

Calculated values
As for the total energy: -24.69 eV for the cell shown. The density is 9.12 g cm⁻³. As for the density of states at the Fermi level: 3.37 states/eV per cell.

```
ScTlRePd2
1.0
4.6810 0.0000 0.0000
0.0000 5.3852 0.0000
0.0000 0.0000 4.6810
Sc Pd Tl Re
1 2 1 1
direct
0.0000 0.0000 0.0000 Sc
0.5000 0.0000 0.0000 Pd
0.0000 0.0000 0.5000 Pd
0.0000 0.5000 0.0000 Tl
0.5000 0.5000 0.5000 Re
```



# 2
ScRe2PdW after structural relaxation, computed with GGA-PBE.

Calculated values
As for the total energy: -41.26 eV for the cell shown. The density is 10.71 g cm⁻³. As for the density of states at the Fermi level: 6.31 states/eV per cell.

```
ScRe2PdW
1.0
-1.9957 0.7897 -4.1828
-4.4206 -1.2608 1.8711
-0.7649 4.4780 1.2104
Sc Re Pd W
1 2 1 1
direct
0.0000 0.5000 0.0000 Sc
0.5000 0.0000 0.0000 Re
0.0000 0.0000 0.5000 Re
0.5000 0.5000 0.5000 Pd
0.0000 0.0000 0.0000 W
```



# 3
YScRe2Pd after structural relaxation, computed with GGA-PBE.

Calculated values
As for the total energy: -34.17 eV for the cell shown. The density is 9.35 g cm⁻³. As for the density of states at the Fermi level: 7.33 states/eV per cell.

```
YScRe2Pd
1.0
4.5888 0.0000 0.0000
0.0000 5.1664 0.0000
0.0000 0.0000 4.5888
Pd Re Sc Y
1 2 1 1
direct
0.5000 0.5000 0.5000 Pd
0.0000 0.0000 0.5000 Re
0.5000 0.0000 0.0000 Re
0.0000 0.0000 0.0000 Sc
0.0000 0.5000 0.0000 Y
```



# 4
ScZnRePd2 after structural relaxation, computed with GGA-PBE.

Calculated values
As for the total energy: -26.14 eV for the cell shown. The density is 7.31 g cm⁻³. As for the density of states at the Fermi level: 5.38 states/eV per cell.

```
ScZnRePd2
1.0
-2.7227 -3.9714 0.4939
2.3909 -1.1203 4.1728
-3.2439 2.5400 2.5406
Re Sc Pd Zn
1 1 2 1
direct
0.0000 0.0000 0.0000 Re
0.0000 0.5000 0.0000 Sc
0.5000 0.0000 0.0000 Pd
0.0000 0.0000 0.5000 Pd
0.5000 0.5000 0.5000 Zn
```



# 5
Re3PdSe after structural relaxation, computed with GGA-PBE.

Calculated values
As for the total energy: -37.48 eV for the cell shown. The density is 13.49 g cm⁻³. As for the density of states at the Fermi level: 3.77 states/eV per cell. The energy above the most stable polymorph in this dataset is 0 kJ/mol of formula units. The uncorrected formation energy is 8.540 eV/f.u.

```
Re3PdSe
1.0
4.5077 0.0000 0.0000
0.0000 4.5077 0.0000
0.0000 0.0000 4.5077
Pd Re Se
1 3 1
direct
0.5000 0.5000 0.5000 Pd
0.0000 0.5000 0.0000 Re
0.0000 0.0000 0.5000 Re
0.5000 0.0000 0.0000 Re
0.0000 0.0000 0.0000 Se
```



# 6
Re2PdSe2 after structural relaxation, computed with GGA-PBE.

Calculated values
As for the total energy: -34.32 eV for the cell shown. The density is 11.20 g cm⁻³. As for the density of states at the Fermi level: 3.60 states/eV per cell. The energy above the most stable polymorph in this dataset is 0 kJ/mol of formula units. The uncorrected formation energy is 2.738 eV/f.u.

```
Re2PdSe2
1.0
-2.0888 -0.0067 -3.2751
2.8720 -1.8708 -1.8279
-2.1427 -6.4196 -0.9239
Pd Se Re
1 2 2
direct
0.0000 0.0000 0.0000 Pd
0.6207 0.6207 0.7585 Se
0.3793 0.3793 0.2415 Se
0.7500 0.2500 0.5000 Re
0.2500 0.7500 0.5000 Re
```



# 7
Re2PdSe after structural relaxation, computed with GGA-PBE.

Calculated values
As for the total energy: -56.08 eV for the cell shown. The density is 10.64 g cm⁻³. As for the density of states at the Fermi level: 8.56 states/eV per cell. The uncorrected formation energy is 5.535 eV/f.u.

```
Re2PdSe
1.0
5.5686 0.0000 0.0000
0.0000 5.5686 0.0000
2.7843 2.7843 5.6131
Pd Re Se
2 4 2
direct
0.0000 0.0000 0.0000 Pd
0.7500 0.2500 0.5000 Pd
0.6158 0.1250 0.2500 Re
0.3750 0.3842 0.7500 Re
0.1342 0.6250 0.2500 Re
0.8750 0.8658 0.7500 Re
0.2500 0.7500 0.5000 Se
0.5000 0.5000 0.0000 Se
```



# 8
RePd2Se6 after structural relaxation, computed with GGA-PBE.

Calculated values
As for the total energy: -89.17 eV for the cell shown. The density is 6.97 g cm⁻³. As for the density of states at the Fermi level: 7.64 states/eV per cell. The uncorrected formation energy is -0.842 eV/f.u.

```
RePd2Se6
1.0
-4.3477 1.1199 5.0306
-4.1006 -5.0266 -2.4250
3.1103 -5.6390 6.4292
Pd Se Re
4 12 2
direct
0.9751 0.6259 0.1705 Pd
0.5249 0.1259 0.3295 Pd
0.4751 0.8741 0.6705 Pd
0.0249 0.3741 0.8295 Pd
0.8245 0.6786 0.8855 Se
0.6755 0.1786 0.6145 Se
0.6463 0.4502 0.2227 Se
0.1884 0.2993 0.3881 Se
0.6884 0.2007 0.8881 Se
0.8116 0.7007 0.6119 Se
0.3537 0.5498 0.7773 Se
0.3116 0.7993 0.1119 Se
0.1755 0.3214 0.1145 Se
0.8537 0.9502 0.2773 Se
0.3245 0.8214 0.3855 Se
0.1463 0.0498 0.7227 Se
0.0000 0.0000 0.5000 Re
0.5000 0.5000 0.0000 Re
```



# 9
Re3PdSe after structural relaxation, computed with GGA-PBE.

Calculated values
As for the total energy: -32.32 eV for the cell shown. The density is 11.64 g cm⁻³. As for the density of states at the Fermi level: 9.70 states/eV per cell. The energy above the most stable polymorph in this dataset is 498 kJ/mol of formula units. The uncorrected formation energy is 13.701 eV/f.u.

```
Re3PdSe
1.0
-3.7042 -2.5260 -1.5235
-0.6005 -1.7487 4.3594
-2.8881 3.6033 1.0476
Re Se Pd
3 1 1
direct
0.0000 0.5000 0.0000 Re
0.0000 0.0000 0.5000 Re
0.5000 0.0000 0.0000 Re
0.5000 0.5000 0.5000 Se
0.0000 0.0000 0.0000 Pd
```



# 10
RePd3Se6 after structural relaxation, computed with GGA-PBE.

Calculated values
As for the total energy: -100.22 eV for the cell shown. The density is 7.48 g cm⁻³. As for the density of states at the Fermi level: 10.81 states/eV per cell. The uncorrected formation energy is -1.178 eV/f.u.

```
RePd3Se6
1.0
-3.9133 -4.9369 -4.2062
-0.9761 -4.3027 6.1573
-6.3292 3.8593 1.5577
Se Re Pd
12 2 6
direct
0.9130 0.0687 0.3106 Se
0.6894 0.0870 0.9313 Se
0.0687 0.3106 0.9130 Se
0.4644 0.5973 0.8163 Se
0.3106 0.9130 0.0687 Se
0.5973 0.8163 0.4644 Se
0.9313 0.6894 0.0870 Se
0.0870 0.9313 0.6894 Se
0.1837 0.5356 0.4027 Se
0.4027 0.1837 0.5356 Se
0.8163 0.4644 0.5973 Se
0.5356 0.4027 0.1837 Se
0.5000 0.5000 0.5000 Re
0.0000 0.0000 0.0000 Re
0.7527 0.4497 0.9210 Pd
0.2473 0.5503 0.0790 Pd
0.0790 0.2473 0.5503 Pd
0.9210 0.7527 0.4497 Pd
0.5503 0.0790 0.2473 Pd
0.4497 0.9210 0.7527 Pd
```



# 11
Re2PdSe2 after structural relaxation, computed with GGA-PBE.

Calculated values
As for the total energy: -67.43 eV for the cell shown. The density is 13.24 g cm⁻³. As for the density of states at the Fermi level: 7.61 states/eV per cell. The energy above the most stable polymorph in this dataset is 58 kJ/mol of formula units. The uncorrected formation energy is 3.343 eV/f.u.

```
Re2PdSe2
1.0
7.3390 0.0000 0.0000
0.0000 7.3390 0.0000
0.0000 0.0000 2.9648
Se Re Pd
4 4 2
direct
0.6469 0.1469 0.0000 Se
0.3531 0.8531 0.0000 Se
0.1469 0.3531 0.0000 Se
0.8531 0.6469 0.0000 Se
0.1523 0.6523 0.5000 Re
0.8477 0.3477 0.5000 Re
0.6523 0.8477 0.5000 Re
0.3477 0.1523 0.5000 Re
0.0000 0.0000 0.0000 Pd
0.5000 0.5000 0.0000 Pd
```



# 12
Re2SnPdSe after structural relaxation, computed with GGA-PBE.

Calculated values
As for the total energy: -29.47 eV for the cell shown. The density is 10.16 g cm⁻³. As for the density of states at the Fermi level: 5.68 states/eV per cell. The uncorrected formation energy is 8.106 eV/f.u.

```
Re2SnPdSe
1.0
-2.6836 -3.5948 0.6145
1.7983 -2.1313 -4.6146
3.3195 -2.0918 2.2597
Se Sn Pd Re
1 1 1 2
direct
0.0000 0.0000 0.0000 Se
0.0000 0.5000 0.0000 Sn
0.5000 0.5000 0.5000 Pd
0.5000 0.0000 0.0000 Re
0.0000 0.0000 0.5000 Re
```



# 13
Tl3RePd3Se8 after structural relaxation, computed with GGA-PBE.

Calculated values
As for the total energy: -66.65 eV for the cell shown. The density is 7.84 g cm⁻³. As for the density of states at the Fermi level: 9.15 states/eV per cell. The uncorrected formation energy is -3.649 eV/f.u.

```
Tl3RePd3Se8
1.0
7.7015 0.0000 0.0000
-3.8507 6.6761 -0.0327
0.0000 -4.4281 7.2322
Se Re Tl Pd
8 1 3 3
direct
0.2228 0.4457 0.6853 Se
0.2228 0.9622 0.6848 Se
0.7772 0.0378 0.3152 Se
0.7394 0.9622 0.6848 Se
0.2606 0.0378 0.3152 Se
0.2742 0.5484 0.3235 Se
0.7772 0.5543 0.3147 Se
0.7258 0.4516 0.6765 Se
0.0000 0.0000 0.5000 Re
0.0000 0.5000 0.0000 Tl
0.0000 0.0000 0.0000 Tl
0.5000 0.5000 0.0000 Tl
0.0000 0.5000 0.5000 Pd
0.5000 0.5000 0.5000 Pd
0.5000 0.0000 0.5000 Pd
```